Entry 1:
Computed, not measured: a relaxed MgGe2Ru2 crystal at the PBE level of DFT.

## Properties
The density of states at the Fermi level is 0.337 states/eV per atom. The total energy is -61.36 eV/cell.

```
MgGe2Ru2
1.0
7.1618 0.0000 0.0000
0.0000 7.1618 0.0000
0.0000 0.0000 3.0078
Mg Ge Ru
2 4 4
Cartesian
0.0000 0.0000 0.0000
3.5809 3.5809 0.0000
1.0874 2.4935 1.5039
2.4935 6.0744 1.5039
4.6683 1.0874 1.5039
6.0744 4.6683 1.5039
1.0387 4.6196 0.0000
2.5422 1.0387 0.0000
4.6196 6.1232 0.0000
6.1232 2.5422 0.0000
```


Entry 2:
Computed, not measured: a relaxed Mg2GeRuSe crystal at the PBE level of DFT.

## Properties
The density of states at the Fermi level is 0.601 states/eV per atom. The value obtained for the uncorrected formation energy is 37 kJ/mol of atoms.

```
Mg2GeRuSe
1.0
4.8658 0.0000 0.0000
0.0000 4.8658 0.0000
0.0000 0.0000 4.6217
Mg Ge Ru Se
2 1 1 1
Cartesian
0.0000 2.4329 0.0000
2.4329 0.0000 0.0000
0.0000 0.0000 2.3109
2.4329 2.4329 2.3109
2.4329 2.4329 0.0000
```


Entry 3:
Computed, not measured: a relaxed SrMgGeRu crystal at the PBE level of DFT.

## Properties
The density of states at the Fermi level is 0.335 states/eV per atom. The total energy is -36.52 eV/cell.

```
SrMgGeRu
1.0
4.3470 0.0000 0.0000
0.0000 4.3470 0.0000
0.0000 0.0000 11.3713
Sr Mg Ge Ru
2 2 2 2
Cartesian
1.0867 1.0867 2.4617
3.2602 3.2602 8.9096
1.0867 3.2602 5.6857
3.2602 1.0867 5.6857
1.0867 1.0867 10.2278
3.2602 3.2602 1.1435
1.0867 3.2602 0.0000
3.2602 1.0867 0.0000
```


Entry 4:
Computed, not measured: a relaxed Sr2MgGeRu crystal at the PBE level of DFT.

## Properties
The density of states at the Fermi level is 1.528 states/eV per atom. The total energy is -17.97 eV/cell.

```
Sr2MgGeRu
1.0
5.9057 0.0000 0.0000
0.0000 5.9057 0.0000
0.0000 0.0000 4.5931
Sr Mg Ge Ru
2 1 1 1
Cartesian
0.0000 2.9529 0.0000
2.9529 0.0000 0.0000
0.0000 0.0000 2.2966
2.9529 2.9529 0.0000
2.9529 2.9529 2.2966
```


Entry 5:
Computed, not measured: a relaxed MgTiGeRu crystal at the PBE level of DFT.

## Properties
The total energy is -24.80 eV/cell.

```
MgTiGeRu
1.0
0.0000 3.1105 3.1105
3.1105 0.0000 3.1105
3.1105 3.1105 0.0000
Mg Ti Ge Ru
1 1 1 1
Cartesian
0.0000 0.0000 0.0000
1.5552 1.5552 1.5552
4.6657 4.6657 4.6657
3.1105 3.1105 3.1105
```


Entry 6:
Computed, not measured: a relaxed MgV2GeRu crystal at the PBE level of DFT.

## Properties
The density of states at the Fermi level is 1.356 states/eV per atom. The total energy is -29.49 eV/cell.

```
MgV2GeRu
1.0
4.7546 0.0000 0.0000
0.0000 4.7546 0.0000
0.0000 0.0000 5.0962
Mg V Ge Ru
1 2 1 1
Cartesian
0.0000 0.0000 0.0000
0.0000 2.3773 2.5481
2.3773 0.0000 2.5481
2.3773 2.3773 0.0000
0.0000 0.0000 2.5481
```